[1]
Entry from Alexandria: crystalline Sr3TaRh at its relaxed geometry (PBE).

ΔH_f (0 K)   809 meV per atom
Excess energy over the best structure of this formula in the dataset   0.00 eV/f.u.
Space group   Pm-3m (221)

Unit cell a=5.665 b=5.665 c=5.665 alpha=90.00 beta=90.00 gamma=90.00
Fractional positions:
Sr1 0.000 0.000 0.500
Sr2 0.000 0.500 0.000
Sr3 0.500 0.000 0.000
Ta1 0.500 0.500 0.500
Rh1 0.000 0.000 0.000

[2]
Entry from Alexandria: crystalline CrRuPt at its relaxed geometry (PBE).

ΔH_f (0 K)   199 meV per atom
Excess energy over the best structure of this formula in the dataset   0.87 eV/f.u.
Space group   F-43m (216)

Unit cell a=4.045 b=4.045 c=4.045 alpha=60.00 beta=60.00 gamma=60.00
Fractional positions:
Cr1 0.000 0.000 0.000
Ru1 0.750 0.750 0.750
Pt1 0.250 0.250 0.250

[3]
Entry from Alexandria: crystalline LiNi2SnI at its relaxed geometry (PBE).

Space group   P4/mmm (123)
Formation energy without anion corrections   0.786 eV/atom

Unit cell a=4.641 b=4.641 c=6.211 alpha=90.00 beta=90.00 gamma=90.00
Fractional positions:
Li1 0.000 0.000 0.000
Ni1 0.000 0.500 0.500
Ni2 0.500 0.000 0.500
Sn1 0.500 0.500 0.000
I1 0.500 0.500 0.500

[4]
Entry from Alexandria: crystalline Pr2Pd2Pb at its relaxed geometry (PBE).

ΔH_f (0 K)   -779 meV per atom
Space group   P4/mbm (127)

Unit cell a=8.063 b=8.063 c=3.850 alpha=90.00 beta=90.00 gamma=90.00
Fractional positions:
Pr1 0.176 0.324 0.000
Pr2 0.324 0.824 0.000
Pr3 0.676 0.176 0.000
Pr4 0.824 0.676 0.000
Pd1 0.123 0.623 0.500
Pd2 0.377 0.123 0.500
Pd3 0.623 0.877 0.500
Pd4 0.877 0.377 0.500
Pb1 0.000 0.000 0.500
Pb2 0.500 0.500 0.500

[5]
Entry from Alexandria: crystalline CaPrMgNi at its relaxed geometry (PBE).

ΔH_f (0 K)   -14 meV per atom
Space group   F-43m (216)

Unit cell a=5.205 b=5.205 c=5.205 alpha=60.00 beta=60.00 gamma=60.00
Fractional positions:
Ca1 0.000 0.000 0.000
Pr1 0.500 0.500 0.500
Mg1 0.750 0.750 0.750
Ni1 0.250 0.250 0.250

[6]
Entry from Alexandria: crystalline DyY2Mg5 at its relaxed geometry (PBE).

ΔH_f (0 K)   -86 meV per atom
Space group   I4/mmm (139)

Unit cell a=8.432 b=8.432 c=8.432 alpha=143.67 beta=143.67 gamma=52.32
Fractional positions:
Dy1 0.000 0.000 0.000
Y1 0.257 0.257 0.000
Y2 0.743 0.743 0.000
Mg1 0.119 0.619 0.500
Mg2 0.381 0.881 0.500
Mg3 0.500 0.500 0.000
Mg4 0.619 0.119 0.500
Mg5 0.881 0.381 0.500

[7]
Entry from Alexandria: crystalline Sr2CaAu at its relaxed geometry (PBE).

ΔH_f (0 K)   -266 meV per atom
Excess energy over the best structure of this formula in the dataset   0.75 eV/f.u.
Space group   I-42d (122)

Unit cell a=8.207 b=8.207 c=8.207 alpha=97.81 beta=97.81 gamma=136.75
Fractional positions:
Sr1 0.001 0.625 0.876
Sr2 0.375 0.251 0.376
Sr3 0.749 0.125 0.124
Sr4 0.875 0.999 0.624
Ca1 0.250 0.750 0.500
Ca2 0.500 0.500 0.000
Au1 0.000 0.000 0.000
Au2 0.750 0.250 0.500

[8]
Entry from Alexandria: crystalline Pr2Sm3In3 at its relaxed geometry (PBE).

ΔH_f (0 K)   -359 meV per atom
Space group   Immm (71)

Unit cell a=11.008 b=11.008 c=11.008 alpha=156.21 beta=153.63 gamma=35.81
Fractional positions:
Pr1 0.237 0.237 0.000
Pr2 0.763 0.763 0.000
Sm1 0.000 0.000 0.000
Sm2 0.382 0.882 0.500
Sm3 0.618 0.118 0.500
In1 0.122 0.622 0.500
In2 0.500 0.500 0.000
In3 0.878 0.378 0.500

[9]
Entry from Alexandria: crystalline SnH2F8 at its relaxed geometry (PBE).

Excess energy over the best structure of this formula in the dataset   0.00 eV/f.u.
Space group   P-1 (2)

Unit cell a=5.076 b=5.104 c=7.460 alpha=97.11 beta=93.21 gamma=119.25
Fractional positions:
Sn1 0.000 0.000 0.000
H1 0.188 0.229 0.378
H2 0.812 0.771 0.622
F1 0.085 0.399 0.914
F2 0.099 0.222 0.516
F3 0.287 0.245 0.241
F4 0.336 0.056 0.867
F5 0.664 0.944 0.133
F6 0.713 0.755 0.759
F7 0.901 0.778 0.484
F8 0.915 0.601 0.086

[10]
Entry from Alexandria: crystalline Ti5Mo4Pd at its relaxed geometry (PBE).

ΔH_f (0 K)   -204 meV per atom
Space group   P4/mmm (123)

Unit cell a=3.173 b=3.173 c=15.731 alpha=90.00 beta=90.00 gamma=90.00
Fractional positions:
Ti1 0.000 0.000 0.000
Ti2 0.000 0.000 0.202
Ti3 0.000 0.000 0.396
Ti4 0.000 0.000 0.604
Ti5 0.000 0.000 0.798
Mo1 0.500 0.500 0.099
Mo2 0.500 0.500 0.301
Mo3 0.500 0.500 0.699
Mo4 0.500 0.500 0.901
Pd1 0.500 0.500 0.500

The V results, record by record, are as follows: 181.8, 46.8, 133.8, 250.3, 99.7, 209.2, 352.1, 238.7, 165.8, 158.4 Å³ per cell.
The density results, record by record, are as follows: 4.99, 12.36, 4.59, 9.31, 4.40, 3.67, 3.89, 7.49, 2.73, 7.65 g cm⁻³.